(1)
Here is crystalline NaAc2Ir at its relaxed geometry from the Alexandria database. Energies are from PBE.

Results
D(E_F) (states/eV/f.u.): 2.73
E_form (eV/f.u.): -1.7
Total magnetization (μB per atom): 0.000
Symmetry: C2/m

a b c (Å): 4.371 4.377 10.045
angles (deg): 77.99 90.00 119.95
Atoms (fractional coordinates):
Ac (0.532, 0.064, 0.411)
Na (0.750, 0.500, 0.750)
Ac (0.968, 0.936, 0.089)
Ir (0.250, 0.500, 0.250)

=====

(2)
Here is crystalline NaAc2Ir at its relaxed geometry from the Alexandria database. Energies are from PBE.

Results
D(E_F) (states/eV/f.u.): 3.61
E_form (eV/f.u.): -1.4
Total magnetization (μB per atom): 0.000
Symmetry: R-3m

a b c (Å): 4.349 4.349 11.359
angles (deg): 78.96 78.96 60.00
Atoms (fractional coordinates):
Ac (0.881, 0.881, 0.358)
Ir (0.500, 0.500, 0.500)
Ac (0.119, 0.119, 0.642)
Na (0.000, 0.000, 0.000)

=====

(3)
Here is crystalline NaAc2Ir at its relaxed geometry from the Alexandria database. Energies are from PBE.

Results
D(E_F) (states/eV/f.u.): 3.57
E_form (eV/f.u.): -1.0
Total magnetization (μB per atom): 0.000
Symmetry: Amm2

a b c (Å): 4.167 4.167 10.335
angles (deg): 90.00 90.00 120.01
Atoms (fractional coordinates):
Na (0.799, 0.201, 0.000)
Ac (0.467, 0.533, 0.324)
Ir (0.133, 0.867, 0.500)
Ac (0.467, 0.533, 0.676)

=====

(4)
Here is crystalline NaAc12Ir6 at its relaxed geometry from the Alexandria database. Energies are from PBE.

Results
D(E_F) (states/eV/f.u.): 14.68
E_form (eV/f.u.): -6.9
Total magnetization (μB per atom): 0.000
Symmetry: R-3m

a b c (Å): 9.206 9.206 9.206
angles (deg): 104.76 104.76 104.76
Atoms (fractional coordinates):
Ac (0.453, 0.453, 0.188)
Ir (0.245, 0.663, 0.245)
Ac (0.547, 0.547, 0.812)
Ac (0.500, 0.128, 0.872)
Ir (0.663, 0.245, 0.245)
Ac (0.188, 0.453, 0.453)
Ac (0.812, 0.547, 0.547)
Ir (0.245, 0.245, 0.663)
Ac (0.872, 0.128, 0.500)
Ac (0.128, 0.500, 0.872)
Na (0.000, 0.000, 0.000)
Ac (0.453, 0.188, 0.453)
Ac (0.500, 0.872, 0.128)
Ac (0.872, 0.500, 0.128)
Ir (0.755, 0.337, 0.755)
Ir (0.337, 0.755, 0.755)
Ac (0.547, 0.812, 0.547)
Ir (0.755, 0.755, 0.337)
Ac (0.128, 0.872, 0.500)

=====

(5)
Here is crystalline NaAcNdIr at its relaxed geometry from the Alexandria database. Energies are from PBE.

Results
D(E_F) (states/eV/f.u.): 3.70
E_form (eV/f.u.): -0.5
Total magnetization (μB per atom): 0.000
Symmetry: F-43m

a b c (Å): 5.334 5.334 5.334
angles (deg): 60.00 60.00 60.00
Atoms (fractional coordinates):
Ir (0.000, 0.000, 0.000)
Na (0.500, 0.500, 0.500)
Nd (0.250, 0.250, 0.250)
Ac (0.750, 0.750, 0.750)

=====

(6)
Here is crystalline Na3Ac2IrO6 at its relaxed geometry from the Alexandria database. Energies are from PBE.

Results
Formation energy (no corrections) (meV per atom): -1930
Total magnetization (μB per atom): 0.000
Symmetry: C2/m

a b c (Å): 6.116 6.116 6.055
angles (deg): 98.38 98.38 121.12
Atoms (fractional coordinates):
Na (0.134, 0.866, 0.500)
Na (0.500, 0.500, 0.500)
Ac (0.331, 0.669, 0.000)
O (0.357, 0.070, 0.225)
O (0.765, 0.765, 0.215)
Na (0.866, 0.134, 0.500)
O (0.643, 0.930, 0.775)
O (0.070, 0.357, 0.225)
O (0.235, 0.235, 0.785)
Ac (0.669, 0.331, 0.000)
Ir (0.000, 0.000, 0.000)
O (0.930, 0.643, 0.775)

=====

(7)
Here is crystalline Na2AcIrO6 at its relaxed geometry from the Alexandria database. Energies are from PBE.

Results
D(E_F) (states/eV/f.u.): 6.33
Formation energy (no corrections) (meV per atom): -1590
Total magnetization (μB per atom): 0.165
Symmetry: P2_1/c

a b c (Å): 5.751 6.028 8.335
angles (deg): 90.00 89.97 90.00
Atoms (fractional coordinates):
Ac (0.500, 0.000, 0.000)
O (0.396, 0.937, 0.716)
Na (0.496, 0.460, 0.237)
O (0.604, 0.063, 0.284)
Na (0.504, 0.540, 0.763)
O (0.651, 0.268, 0.572)
O (0.281, 0.661, 0.041)
O (0.849, 0.768, 0.928)
O (0.349, 0.732, 0.428)
Ir (0.500, 0.000, 0.500)
O (0.896, 0.563, 0.216)
Ac (0.000, 0.500, 0.500)
Ir (0.000, 0.500, 0.000)
O (0.781, 0.839, 0.541)
Na (0.004, 0.960, 0.263)
O (0.104, 0.437, 0.784)
Na (0.996, 0.040, 0.737)
O (0.719, 0.339, 0.959)
O (0.151, 0.232, 0.072)
O (0.219, 0.161, 0.459)

=====

(8)
Here is crystalline NaAcIrO4 at its relaxed geometry from the Alexandria database. Energies are from PBE.

Results
D(E_F) (states/eV/f.u.): 3.31
Formation energy (no corrections) (meV per atom): -1757
Total magnetization (μB per atom): 0.089
Symmetry: Imma

a b c (Å): 6.605 6.872 7.830
angles (deg): 124.73 90.00 118.72
Atoms (fractional coordinates):
O (0.252, 0.948, 0.724)
Ac (0.500, 0.000, 0.500)
O (0.748, 0.052, 0.276)
O (0.763, 0.526, 0.675)
O (0.304, 0.052, 0.276)
O (0.763, 0.526, 0.351)
O (0.696, 0.948, 0.724)
Na (0.903, 0.806, 0.153)
O (0.237, 0.474, 0.649)
Ir (0.500, 0.500, 0.500)
O (0.237, 0.474, 0.325)
Ir (0.000, 0.500, 0.500)
Ac (0.500, 0.000, 0.000)
Na (0.097, 0.194, 0.847)

=====

(9)
Here is crystalline NaAc2IrO6 at its relaxed geometry from the Alexandria database. Energies are from PBE.

Results
D(E_F) (states/eV/f.u.): 3.76
Formation energy (no corrections) (meV per atom): -2245
Total magnetization (μB per atom): 0.203
Symmetry: R-3

a b c (Å): 5.734 5.734 5.734
angles (deg): 62.89 62.89 62.89
Atoms (fractional coordinates):
O (0.780, 0.317, 0.149)
Na (0.500, 0.500, 0.500)
O (0.851, 0.221, 0.683)
Ac (0.245, 0.245, 0.245)
Ir (0.000, 0.000, 0.000)
O (0.683, 0.851, 0.221)
Ac (0.755, 0.755, 0.755)
O (0.221, 0.683, 0.851)
O (0.149, 0.780, 0.317)
O (0.317, 0.149, 0.780)

=====

(10)
Here is crystalline Na2AcIrO5 at its relaxed geometry from the Alexandria database. Energies are from PBE.

Results
D(E_F) (states/eV/f.u.): 2.87
Formation energy (no corrections) (meV per atom): -1739
Total magnetization (μB per atom): 0.151
Symmetry: Immm

a b c (Å): 3.794 5.731 6.737
angles (deg): 115.17 106.35 90.00
Atoms (fractional coordinates):
Ac (0.000, 0.500, 0.000)
O (0.000, 0.000, 0.000)
Ir (0.500, 0.000, 0.000)
O (0.382, 0.625, 0.765)
O (0.382, 0.140, 0.765)
Na (0.782, 0.782, 0.564)
O (0.618, 0.375, 0.235)
Na (0.218, 0.218, 0.436)
O (0.618, 0.860, 0.235)

=====

(11)
Here is crystalline NaAc2IrO8 at its relaxed geometry from the Alexandria database. Energies are from PBE.

Results
D(E_F) (states/eV/f.u.): 4.31
Formation energy (no corrections) (meV per atom): -1671
Total magnetization (μB per atom): 0.043
Symmetry: P2/m

a b c (Å): 4.599 5.264 7.911
angles (deg): 89.98 90.00 100.35
Atoms (fractional coordinates):
O (0.606, 0.826, 0.000)
O (0.394, 0.174, 0.000)
O (0.545, 0.751, 0.500)
O (0.070, 0.767, 0.825)
O (0.930, 0.233, 0.825)
O (0.930, 0.233, 0.175)
O (0.070, 0.767, 0.175)
Na (0.000, 0.000, 0.500)
Ac (0.500, 0.500, 0.752)
Ac (0.500, 0.500, 0.248)
O (0.455, 0.249, 0.500)
Ir (0.000, 0.000, 0.000)

=====

(12)
Here is crystalline NaAcSbIr at its relaxed geometry from the Alexandria database. Energies are from PBE.

Results
D(E_F) (states/eV/f.u.): 1.09
Formation energy (no corrections) (meV per atom): -346
Total magnetization (μB per atom): 0.000
Symmetry: F-43m

a b c (Å): 5.094 5.094 5.094
angles (deg): 60.00 60.00 60.00
Atoms (fractional coordinates):
Ac (0.000, 0.000, 0.000)
Ir (0.750, 0.750, 0.750)
Na (0.250, 0.250, 0.250)
Sb (0.500, 0.500, 0.500)

=====

(13)
Here is crystalline NaAc2Sn4Ir3 at its relaxed geometry from the Alexandria database. Energies are from PBE.

Results
D(E_F) (states/eV/f.u.): 5.33
E_form (eV/f.u.): -4.8
Total magnetization (μB per atom): 0.000
Symmetry: P-4m2

a b c (Å): 4.676 4.676 11.051
angles (deg): 90.00 90.00 90.00
Atoms (fractional coordinates):
Ir (0.500, 0.000, 0.874)
Ir (0.000, 0.000, 0.500)
Ac (0.000, 0.500, 0.759)
Na (0.500, 0.500, 0.500)
Sn (0.000, 0.500, 0.364)
Ir (0.000, 0.500, 0.126)
Sn (0.500, 0.500, 0.000)
Ac (0.500, 0.000, 0.241)
Sn (0.000, 0.000, 0.000)
Sn (0.500, 0.000, 0.636)

=====

(14)
Here is crystalline NaAc2Sn3Ir4 at its relaxed geometry from the Alexandria database. Energies are from PBE.

Results
D(E_F) (states/eV/f.u.): 4.23
E_form (eV/f.u.): -4.5
Total magnetization (μB per atom): 0.000
Symmetry: P-4m2

a b c (Å): 4.415 4.415 11.738
angles (deg): 90.00 90.00 90.00
Atoms (fractional coordinates):
Ir (0.000, 0.500, 0.350)
Sn (0.500, 0.000, 0.876)
Ac (0.000, 0.500, 0.748)
Ir (0.500, 0.000, 0.650)
Na (0.500, 0.500, 0.500)
Sn (0.000, 0.500, 0.124)
Ac (0.500, 0.000, 0.252)
Sn (0.000, 0.000, 0.500)
Ir (0.500, 0.500, 0.000)
Ir (0.000, 0.000, 0.000)

=====

(15)
Here is crystalline NaSr2AcIr at its relaxed geometry from the Alexandria database. Energies are from PBE.

Results
D(E_F) (states/eV/f.u.): 2.96
E_form (eV/f.u.): -1.0
Total magnetization (μB per atom): 0.000
Symmetry: P4/mmm

a b c (Å): 5.769 6.033 6.033
angles (deg): 90.00 90.00 90.00
Atoms (fractional coordinates):
Na (0.500, 0.500, 0.500)
Sr (0.000, 0.500, 0.000)
Ac (0.500, 0.000, 0.000)
Sr (0.000, 0.000, 0.500)
Ir (0.000, 0.000, 0.000)

=====

(16)
Here is crystalline NaAcTlIr at its relaxed geometry from the Alexandria database. Energies are from PBE.

Results
D(E_F) (states/eV/f.u.): 3.30
E_form (eV/f.u.): -0.3
Total magnetization (μB per atom): 0.000
Symmetry: F-43m

a b c (Å): 5.162 5.162 5.162
angles (deg): 60.00 60.00 60.00
Atoms (fractional coordinates):
Tl (0.250, 0.250, 0.250)
Ir (0.000, 0.000, 0.000)
Na (0.500, 0.500, 0.500)
Ac (0.750, 0.750, 0.750)

=====

(17)
Here is crystalline AcNbIr2 at its relaxed geometry from the Alexandria database. Energies are from PBE.

Results
D(E_F) (states/eV/f.u.): 3.52
E_form (eV/f.u.): -1.3
Total magnetization (μB per atom): 0.000
Symmetry: P4/mmm

a b c (Å): 3.284 3.284 7.658
angles (deg): 90.00 90.00 90.00
Atoms (fractional coordinates):
Ir (0.000, 0.000, 0.190)
Nb (0.500, 0.500, 0.000)
Ac (0.500, 0.500, 0.500)
Ir (0.000, 0.000, 0.810)

=====

(18)
Here is crystalline AcNb2Ir2 at its relaxed geometry from the Alexandria database. Energies are from PBE.

Results
D(E_F) (states/eV/f.u.): 2.27
E_form (eV/f.u.): -2.6
Total magnetization (μB per atom): 0.000
Symmetry: I4/mmm

a b c (Å): 4.540 4.540 6.262
angles (deg): 111.25 111.25 90.00
Atoms (fractional coordinates):
Nb (0.250, 0.750, 0.500)
Nb (0.750, 0.250, 0.500)
Ac (0.000, 0.000, 0.000)
Ir (0.370, 0.370, 0.741)
Ir (0.630, 0.630, 0.259)

=====

(19)
Here is crystalline AcTaNbIr2 at its relaxed geometry from the Alexandria database. Energies are from PBE.

Results
D(E_F) (states/eV/f.u.): 2.43
E_form (eV/f.u.): -2.7
Total magnetization (μB per atom): 0.000
Symmetry: I-4m2

a b c (Å): 4.526 4.526 6.286
angles (deg): 111.10 111.10 90.00
Atoms (fractional coordinates):
Ac (0.000, 0.000, 0.000)
Nb (0.750, 0.250, 0.500)
Ir (0.630, 0.630, 0.260)
Ta (0.250, 0.750, 0.500)
Ir (0.370, 0.370, 0.740)

=====

(20)
Here is crystalline Ac3NdIr at its relaxed geometry from the Alexandria database. Energies are from PBE.

Results
D(E_F) (states/eV/f.u.): 7.81
E_form (eV/f.u.): -1.0
Energy above the most stable polymorph in this dataset (eV/f.u.): 0.574
Total magnetization (μB per atom): 0.246
Symmetry: Pm-3m

a b c (Å): 5.906 5.906 5.906
angles (deg): 90.00 90.00 90.00
Atoms (fractional coordinates):
Nd (0.500, 0.500, 0.500)
Ac (0.000, 0.000, 0.500)
Ir (0.000, 0.000, 0.000)
Ac (0.500, 0.000, 0.000)
Ac (0.000, 0.500, 0.000)

=====

(21)
Here is crystalline AcNd2Ir at its relaxed geometry from the Alexandria database. Energies are from PBE.

Results
D(E_F) (states/eV/f.u.): 4.36
E_form (eV/f.u.): -0.7
Energy above the most stable polymorph in this dataset (eV/f.u.): 1.063
Total magnetization (μB per atom): 0.000
Symmetry: R-3m

a b c (Å): 4.041 4.041 11.212
angles (deg): 79.62 79.62 60.00
Atoms (fractional coordinates):
Nd (0.882, 0.882, 0.355)
Ac (0.000, 0.000, 0.000)
Nd (0.118, 0.118, 0.645)
Ir (0.500, 0.500, 0.500)

=====

(22)
Here is crystalline AcNd2Ir at its relaxed geometry from the Alexandria database. Energies are from PBE.

Results
D(E_F) (states/eV/f.u.): 4.66
E_form (eV/f.u.): -1.7
Energy above the most stable polymorph in this dataset (eV/f.u.): 0.000
Total magnetization (μB per atom): 0.000
Symmetry: Pnma

a b c (Å): 6.681 7.533 10.135
angles (deg): 90.00 90.00 90.00
Atoms (fractional coordinates):
Nd (0.170, 0.673, 0.069)
Ac (0.355, 0.461, 0.750)
Ir (0.578, 0.119, 0.750)
Nd (0.330, 0.173, 0.069)
Ac (0.645, 0.539, 0.250)
Nd (0.830, 0.327, 0.931)
Nd (0.330, 0.173, 0.431)
Nd (0.670, 0.827, 0.569)
Ac (0.855, 0.039, 0.250)
Nd (0.830, 0.327, 0.569)
Ir (0.422, 0.881, 0.250)
Ac (0.145, 0.961, 0.750)
Ir (0.922, 0.619, 0.750)
Nd (0.170, 0.673, 0.431)
Ir (0.078, 0.381, 0.250)
Nd (0.670, 0.827, 0.931)

=====

(23)
Here is crystalline Ac3NdIr at its relaxed geometry from the Alexandria database. Energies are from PBE.

Results
D(E_F) (states/eV/f.u.): 6.10
E_form (eV/f.u.): -1.6
Energy above the most stable polymorph in this dataset (eV/f.u.): 0.000
Total magnetization (μB per atom): 0.000
Symmetry: C2/m

a b c (Å): 7.959 7.959 8.927
angles (deg): 55.65 55.65 73.96
Atoms (fractional coordinates):
Ir (0.754, 0.754, 0.841)
Ac (0.452, 0.452, 0.256)
Ac (0.552, 0.956, 0.207)
Ac (0.448, 0.044, 0.793)
Ac (0.548, 0.548, 0.744)
Ac (0.044, 0.448, 0.793)
Nd (0.955, 0.955, 0.347)
Ir (0.246, 0.246, 0.159)
Nd (0.045, 0.045, 0.653)
Ac (0.956, 0.552, 0.207)

=====

(24)
Here is crystalline Ac2Nd3Ir2 at its relaxed geometry from the Alexandria database. Energies are from PBE.

Results
D(E_F) (states/eV/f.u.): 7.33
E_form (eV/f.u.): -3.4
Total magnetization (μB per atom): 0.000
Symmetry: C2/m

a b c (Å): 4.049 6.727 9.484
angles (deg): 115.12 90.00 107.52
Atoms (fractional coordinates):
Ac (0.831, 0.663, 0.200)
Ir (0.825, 0.649, 0.753)
Nd (0.620, 0.241, 0.422)
Nd (0.380, 0.759, 0.578)
Ac (0.169, 0.337, 0.800)
Ir (0.175, 0.351, 0.247)
Nd (0.500, 0.000, 0.000)